# 1
Here is a crystal of Ir2Rh relaxed with PBEsol from Alexandria. Energies are from meta-GGA SCAN.

```
Ir2Rh
1.0
2.650 0.000 0.000
0.000 4.328 0.000
0.000 -2.164 3.748
Ir Rh
2 1
Direct
0.000 0.667 0.333
0.000 0.333 0.667
0.500 0.000 0.000
```

Values from the calculation:
Its formation enthalpy at 0 K is 0.267 eV per atom. The space group is P6/mmm. The total energy is -58.390 eV/atom. The total moment comes out at 0.0 Bohr magnetons per cell. Its volume is 43.0 Å³ per cell. Its density of states at the Fermi level is 5.208 states/eV per cell.

=====

# 2
Here is a crystal of CuIr4 relaxed with PBEsol from Alexandria. Energies are from meta-GGA SCAN.

```
CuIr4
1.0
-1.483 -2.639 2.293
-0.735 -4.099 -2.048
3.157 -2.563 2.236
Ir Cu
4 1
Direct
0.397 0.802 0.405
0.802 0.595 0.802
0.198 0.405 0.198
0.603 0.198 0.595
0.000 0.000 0.000
```

Values from the calculation:
Its formation enthalpy at 0 K is 0.040 eV per atom. The space group is I4/m. The total energy is -59.880 eV/atom. The total moment comes out at 0.0 Bohr magnetons per cell. Its volume is 68.1 Å³ per cell. Its density of states at the Fermi level is 4.156 states/eV per cell.

=====

# 3
Here is a crystal of Mg3Hg relaxed with PBEsol from Alexandria. Energies are from meta-GGA SCAN.

```
Mg3Hg
1.0
-2.922 2.796 -3.428
4.362 -2.846 -6.041
-5.285 -6.467 -0.769
Mg Hg
12 4
Direct
0.098 0.674 0.435
0.598 0.826 0.935
0.416 0.476 0.750
0.084 0.976 0.750
0.098 0.674 0.065
0.902 0.326 0.935
0.402 0.174 0.065
0.402 0.174 0.435
0.598 0.826 0.565
0.902 0.326 0.565
0.916 0.024 0.250
0.584 0.524 0.250
0.432 0.872 0.250
0.568 0.128 0.750
0.068 0.372 0.250
0.932 0.628 0.750
```

Values from the calculation:
Its formation enthalpy at 0 K is -0.300 eV per atom. The space group is Pnma. The total energy is -21.072 eV/atom. The total moment comes out at 0.0 Bohr magnetons per cell. Its volume is 354.7 Å³ per cell. Its density of states at the Fermi level is 5.027 states/eV per cell.

=====

# 4
Here is a crystal of K2DyPCO7 relaxed with PBEsol from Alexandria. Energies are from meta-GGA SCAN.

```
K2DyPCO7
1.0
5.656 0.000 0.069
0.000 7.060 0.000
-0.204 0.000 9.944
O C K P Dy
14 2 4 2 2
Direct
0.436 0.750 0.441
0.952 0.250 0.162
0.566 0.250 0.192
0.816 0.750 0.579
0.708 0.250 0.980
0.797 0.931 0.361
0.797 0.569 0.361
0.434 0.750 0.808
0.564 0.250 0.559
0.048 0.750 0.838
0.292 0.750 0.020
0.203 0.431 0.639
0.203 0.069 0.639
0.184 0.250 0.421
0.742 0.250 0.105
0.258 0.750 0.895
0.256 0.983 0.216
0.744 0.017 0.784
0.256 0.517 0.216
0.744 0.483 0.784
0.712 0.750 0.434
0.288 0.250 0.566
0.796 0.250 0.378
0.204 0.750 0.622
```

Values from the calculation:
The space group is P2_1/m. The total energy is -13.313 eV/atom. The total moment comes out at 0.1 Bohr magnetons per cell. The formation energy without anion corrections comes out at -31.18 eV per formula unit. Its volume is 397.1 Å³ per cell. Its density of states at the Fermi level is 0.000 states/eV per cell.

=====

# 5
Here is a crystal of KBa2MnTc relaxed with PBEsol from Alexandria. Energies are from meta-GGA SCAN.

```
KBa2MnTc
1.0
-4.147 -2.436 0.561
2.110 -2.418 5.098
-2.284 4.610 3.132
Mn Tc K Ba
1 1 1 2
Direct
0.500 0.000 0.000
0.500 0.500 0.500
0.000 0.000 0.000
0.000 0.500 0.000
0.000 0.000 0.500
```

Values from the calculation:
Its formation enthalpy at 0 K is 1.651 eV per atom. The space group is P4/mmm. The total energy is -26.498 eV/atom. The total moment comes out at 7.0 Bohr magnetons per cell. Its volume is 175.7 Å³ per cell. Its density of states at the Fermi level is 4.194 states/eV per cell.

=====

# 6
Here is a crystal of Y2ZnF2 relaxed with PBEsol from Alexandria. Energies are from meta-GGA SCAN.

```
Y2ZnF2
1.0
-2.722 -1.240 1.963
2.312 -1.721 2.120
0.594 6.823 1.873
Y F Zn
2 2 1
Direct
0.634 0.634 0.267
0.366 0.366 0.733
0.750 0.250 0.500
0.250 0.750 0.500
0.000 0.000 0.000
```

Values from the calculation:
The space group is I4/mmm. The total energy is -17.748 eV/atom. The total moment comes out at 0.0 Bohr magnetons per cell. The formation energy without anion corrections comes out at -12.46 eV per formula unit. Its volume is 84.9 Å³ per cell. Its density of states at the Fermi level is 2.153 states/eV per cell.

=====

# 7
Here is a crystal of As2IrPt relaxed with PBEsol from Alexandria. Energies are from meta-GGA SCAN.

```
As2IrPt
1.0
3.411 0.000 0.000
1.706 2.954 0.000
1.706 0.985 7.086
Pt As Ir
1 2 1
Direct
0.256 0.256 0.232
0.764 0.764 0.708
0.987 0.987 0.039
0.493 0.493 0.521
```

Values from the calculation:
Its formation enthalpy at 0 K is -0.116 eV per atom. The space group is R3m. The total energy is -45.534 eV/atom. The total moment comes out at 0.0 Bohr magnetons per cell. Its volume is 71.4 Å³ per cell. Its density of states at the Fermi level is 2.209 states/eV per cell.

=====

# 8
Here is a crystal of TlCrSbTe2 relaxed with PBEsol from Alexandria. Energies are from meta-GGA SCAN.

```
TlCrSbTe2
1.0
5.029 0.000 0.000
0.000 5.287 0.000
0.000 0.000 5.287
Te Cr Sb Tl
2 1 1 1
Direct
0.000 0.000 0.500
0.000 0.500 0.000
0.000 0.000 0.000
0.500 0.000 0.000
0.500 0.500 0.500
```

Values from the calculation:
The space group is P4/mmm. The total energy is -40.378 eV/atom. The total moment comes out at 3.0 Bohr magnetons per cell. The formation energy without anion corrections comes out at 0.61 eV per formula unit. Its volume is 140.5 Å³ per cell. Its density of states at the Fermi level is 4.116 states/eV per cell.

=====

# 9
Here is a crystal of SiMoCl2 relaxed with PBEsol from Alexandria. Energies are from meta-GGA SCAN.

```
SiMoCl2
1.0
-0.633 -2.520 1.229
2.638 -2.026 -2.798
3.971 0.612 3.300
Si Mo Cl
1 1 2
Direct
0.000 0.500 0.500
0.500 0.500 0.000
0.000 0.000 0.000
0.500 0.000 0.500
```

Values from the calculation:
The space group is Pmmm. The total energy is -14.800 eV/atom. The total moment comes out at 2.0 Bohr magnetons per cell. The formation energy without anion corrections comes out at 1.66 eV per formula unit. Its volume is 64.9 Å³ per cell. Its density of states at the Fermi level is 1.529 states/eV per cell.

=====

# 10
Here is a crystal of Sc2BeHg relaxed with PBEsol from Alexandria. Energies are from meta-GGA SCAN.

```
Sc2BeHg
1.0
3.273 0.000 0.000
0.000 3.273 0.000
0.000 0.000 6.741
Hg Sc Be
1 2 1
Direct
0.500 0.500 0.500
0.000 0.000 0.779
0.000 0.000 0.221
0.500 0.500 0.000
```

Values from the calculation:
Its formation enthalpy at 0 K is -0.364 eV per atom. The space group is P4/mmm. The total energy is -25.612 eV/atom. The total moment comes out at 0.1 Bohr magnetons per cell. Its volume is 72.2 Å³ per cell. Its density of states at the Fermi level is 1.907 states/eV per cell.

=====

# 11
Here is a crystal of SiMo2CSe relaxed with PBEsol from Alexandria. Energies are from meta-GGA SCAN.

```
SiMo2CSe
1.0
-1.140 -2.895 1.615
3.980 -1.716 -0.266
1.010 1.747 3.845
C Mo Si Se
1 2 1 1
Direct
0.000 0.000 0.000
0.000 0.000 0.500
0.000 0.500 0.000
0.500 0.000 0.000
0.500 0.500 0.500
```

Values from the calculation:
The space group is P4/mmm. The total energy is -21.418 eV/atom. The total moment comes out at 0.0 Bohr magnetons per cell. The formation energy without anion corrections comes out at 2.88 eV per formula unit. Its volume is 66.1 Å³ per cell. Its density of states at the Fermi level is 4.427 states/eV per cell.

=====

# 12
Here is a crystal of Ca2PClO4 relaxed with PBEsol from Alexandria. Energies are from meta-GGA SCAN.

```
Ca2PClO4
1.0
6.144 0.000 0.000
0.000 6.962 0.000
0.000 0.000 10.738
P O Cl Ca
4 16 4 8
Direct
0.865 0.750 0.500
0.135 0.250 0.500
0.865 0.750 0.000
0.135 0.250 0.000
0.284 0.425 0.476
0.716 0.925 0.476
0.014 0.729 0.116
0.284 0.075 0.976
0.014 0.729 0.384
0.986 0.229 0.116
0.986 0.229 0.384
0.284 0.425 0.024
0.716 0.925 0.024
0.986 0.271 0.616
0.284 0.075 0.524
0.014 0.771 0.884
0.986 0.271 0.884
0.014 0.771 0.616
0.716 0.575 0.976
0.716 0.575 0.524
0.491 0.709 0.250
0.509 0.291 0.750
0.509 0.209 0.250
0.491 0.791 0.750
0.868 0.529 0.750
0.132 0.029 0.750
0.132 0.471 0.250
0.868 0.971 0.250
0.369 0.750 0.500
0.631 0.250 0.000
0.369 0.750 0.000
0.631 0.250 0.500
```

Values from the calculation:
The space group is Pbcm. The total energy is -10.970 eV/atom. The total moment comes out at 0.0 Bohr magnetons per cell. The formation energy without anion corrections comes out at -25.13 eV per formula unit. Its volume is 459.3 Å³ per cell. Its density of states at the Fermi level is 0.000 states/eV per cell.

=====

# 13
Here is a crystal of Be2TcW relaxed with PBEsol from Alexandria. Energies are from meta-GGA SCAN.

```
Be2TcW
1.0
3.505 0.000 0.000
0.000 3.505 0.000
-1.753 -1.753 3.840
W Be Tc
1 2 1
Direct
0.250 0.750 0.500
0.000 0.000 0.000
0.750 0.250 0.500
0.500 0.500 0.000
```

Values from the calculation:
Its formation enthalpy at 0 K is -0.003 eV per atom. The space group is I-4m2. The total energy is -28.367 eV/atom. The total moment comes out at 0.0 Bohr magnetons per cell. Its volume is 47.2 Å³ per cell. Its density of states at the Fermi level is 2.474 states/eV per cell.

=====

# 14
Here is a crystal of CaB2H8O8 relaxed with PBEsol from Alexandria. Energies are from meta-GGA SCAN.

```
CaB2H8O8
1.0
5.587 -0.004 -0.061
2.397 7.162 -0.111
2.214 2.720 6.930
H O B Ca
16 16 4 2
Direct
0.618 0.216 0.921
0.382 0.784 0.079
0.866 0.198 0.228
0.537 0.948 0.702
0.441 0.402 0.543
0.332 0.464 0.959
0.134 0.802 0.772
0.463 0.052 0.298
0.559 0.598 0.457
0.668 0.536 0.041
0.139 0.349 0.206
0.901 0.290 0.553
0.099 0.710 0.447
0.861 0.651 0.794
0.414 0.844 0.542
0.586 0.156 0.458
0.302 0.461 0.467
0.417 0.432 0.838
0.698 0.539 0.533
0.577 0.075 0.692
0.757 0.090 0.937
0.583 0.568 0.162
0.995 0.152 0.617
0.005 0.848 0.383
0.799 0.528 0.820
0.201 0.472 0.180
0.437 0.780 0.681
0.944 0.821 0.826
0.056 0.179 0.174
0.423 0.925 0.308
0.243 0.910 0.063
0.563 0.220 0.319
0.411 0.427 0.283
0.589 0.573 0.717
0.817 0.035 0.761
0.183 0.965 0.239
0.145 0.230 0.831
0.855 0.770 0.169
```

Values from the calculation:
The space group is P-1. The total energy is -7.118 eV/atom. The total moment comes out at 0.0 Bohr magnetons per cell. Its volume is 279.6 Å³ per cell. Its density of states at the Fermi level is 0.000 states/eV per cell.

=====

# 15
Here is a crystal of NbTcPCl2 relaxed with PBEsol from Alexandria. Energies are from meta-GGA SCAN.

```
NbTcPCl2
1.0
4.651 0.000 0.000
0.000 4.651 0.000
0.000 0.000 4.577
Tc P Cl Nb
1 1 2 1
Direct
0.000 0.000 0.000
0.000 0.000 0.500
0.500 0.000 0.000
0.000 0.500 0.000
0.500 0.500 0.500
```

Values from the calculation:
The space group is P4/mmm. The total energy is -18.310 eV/atom. The total moment comes out at 3.9 Bohr magnetons per cell. The formation energy without anion corrections comes out at 2.99 eV per formula unit. Its volume is 99.0 Å³ per cell. Its density of states at the Fermi level is 3.760 states/eV per cell.

=====

# 16
Here is a crystal of ScOsW relaxed with PBEsol from Alexandria. Energies are from meta-GGA SCAN.

```
ScOsW
1.0
-0.709 2.741 -0.127
-1.622 -0.607 -4.049
-2.604 -0.511 3.514
Sc Os W
1 1 1
Direct
0.669 0.333 0.667
0.022 0.000 0.000
0.309 0.667 0.333
```

Values from the calculation:
Its formation enthalpy at 0 K is -0.037 eV per atom. The space group is P3m1. The total energy is -51.972 eV/atom. The total moment comes out at 0.0 Bohr magnetons per cell. Its volume is 47.6 Å³ per cell. Its density of states at the Fermi level is 2.383 states/eV per cell.

=====

# 17
Here is a crystal of HfP relaxed with PBEsol from Alexandria. Energies are from meta-GGA SCAN.

```
HfP
1.0
-2.782 1.072 -2.060
3.063 -1.159 -1.552
-4.380 -11.490 -0.067
Hf P
4 4
Direct
0.667 0.333 0.616
0.333 0.667 0.116
0.667 0.333 0.884
0.333 0.667 0.384
0.000 0.000 0.500
0.333 0.667 0.750
0.000 0.000 0.000
0.667 0.333 0.250
```

Values from the calculation:
Its formation enthalpy at 0 K is -1.392 eV per atom. The space group is P6_3/mmc. The total energy is -37.928 eV/atom. The total moment comes out at 0.0 Bohr magnetons per cell. Its volume is 139.9 Å³ per cell. Its density of states at the Fermi level is 2.196 states/eV per cell.

=====

# 18
Here is a crystal of LiCuMo2 relaxed with PBEsol from Alexandria. Energies are from meta-GGA SCAN.

```
LiCuMo2
1.0
-2.499 -0.177 -0.192
0.400 -4.151 -1.383
0.738 -1.507 4.739
Mo Cu Li
2 1 1
Direct
0.007 0.000 0.251
0.993 0.000 0.749
0.500 0.500 0.000
0.500 0.500 0.500
```

Values from the calculation:
Its formation enthalpy at 0 K is 0.339 eV per atom. The space group is P2/m. The total energy is -21.501 eV/atom. The total moment comes out at 0.0 Bohr magnetons per cell. Its volume is 54.4 Å³ per cell. Its density of states at the Fermi level is 2.343 states/eV per cell.

=====

# 19
Here is a crystal of BeCo4Rh relaxed with PBEsol from Alexandria. Energies are from meta-GGA SCAN.

```
BeCo4Rh
1.0
4.559 0.000 0.000
2.279 3.948 0.000
2.279 1.316 3.722
Co Rh Be
4 1 1
Direct
0.626 0.626 0.123
0.626 0.626 0.626
0.626 0.123 0.626
0.123 0.626 0.626
0.250 0.250 0.250
0.000 0.000 0.000
```

Values from the calculation:
Its formation enthalpy at 0 K is 0.128 eV per atom. The space group is F-43m. The total energy is -17.763 eV/atom. The total moment comes out at 8.0 Bohr magnetons per cell. Its volume is 67.0 Å³ per cell. Its density of states at the Fermi level is 4.602 states/eV per cell.

=====

# 20
Here is a crystal of KBe2Zn relaxed with PBEsol from Alexandria. Energies are from meta-GGA SCAN.

```
KBe2Zn
1.0
4.543 0.000 0.000
0.000 4.543 0.000
-2.272 -2.272 8.122
Zn K Be
2 2 4
Direct
0.000 0.000 0.000
0.250 0.750 0.500
0.750 0.250 0.500
0.500 0.500 0.000
0.125 0.875 0.750
0.125 0.375 0.250
0.125 0.875 0.250
0.625 0.875 0.750
```

Values from the calculation:
Its formation enthalpy at 0 K is 0.612 eV per atom. The space group is I4_1/amd. The total energy is -7.025 eV/atom. The total moment comes out at 0.0 Bohr magnetons per cell. Its volume is 167.6 Å³ per cell. Its density of states at the Fermi level is 3.741 states/eV per cell.